# LiAgWF2 (GGA+U, optimized geometry)
data_LiAgWF2
_symmetry_space_group_name_H-M 'P 1'
_symmetry_Int_Tables_number 1
_symmetry_space_group_name_Hall 'P 1'
_cell_length_a 4.4727
_cell_length_b 4.8446
_cell_length_c 4.4727
_cell_angle_alpha 90.00
_cell_angle_beta 90.00
_cell_angle_gamma 90.00
loop_
_atom_site_label
_atom_site_type_symbol
_atom_site_fract_x
_atom_site_fract_y
_atom_site_fract_z
Li1 Li 0.0000 0.5000 0.0000
Ag1 Ag 0.0000 0.0000 0.0000
W1 W 0.5000 0.5000 0.5000
F1 F 0.0000 0.0000 0.5000
F2 F 0.5000 0.0000 0.0000
# VASP energy = -3.125 eV/atom
# N(E_F) = 4.17 states/eV/cell
# Symmetry = P4/mmm (123)